# Cd3Pt PBEsol optimized geometry
# - density (g/cm³) = 12.280
# - total magnetization (Bohr magnetons per cell) = 0.000
# - E_form (eV/f.u.) = -0.777
data_Cd3Pt
_cell_length_a 4.159
_cell_length_b 4.159
_cell_length_c 16.642
_cell_angle_alpha 90.00
_cell_angle_beta 90.00
_cell_angle_gamma 90.00
_space_group_name_H-M_alt 'I 4/m m m'
_space_group_IT_number 139
_space_group_name_Hall '-I 4 2'
loop_
_atom_site_label
_atom_site_type_symbol
_atom_site_fract_x
_atom_site_fract_y
_atom_site_fract_z
Cd1 Cd 0.000 0.000 0.124
Cd2 Cd 0.000 0.500 0.000
Cd3 Cd 0.000 0.500 0.250
Pt1 Pt 0.000 0.000 0.374